# PBE PrNd2GeN4, relaxed
data_PrNd2GeN4
_space_group_name_H-M_alt 'C m c m'
_space_group_IT_number 63
_space_group_name_Hall '-C 2c 2'
_cell_length_a 3.646
_cell_length_b 11.789
_cell_length_c 12.091
_cell_angle_alpha 90.00
_cell_angle_beta 90.00
_cell_angle_gamma 90.00
loop_
_atom_site_label
_atom_site_type_symbol
_atom_site_fract_x
_atom_site_fract_y
_atom_site_fract_z
Pr1 Pr 0.000 0.101 0.250
Nd1 Nd 0.000 0.369 0.045
Ge1 Ge 0.000 0.166 0.750
N1 N 0.000 0.000 0.000
N2 N 0.000 0.273 0.632
N3 N 0.000 0.419 0.250
# Raw total energy = -7.426 eV per atom
# Formation energy (no corrections) = -0.897 eV/atom